Compound: SrIn
Source: the Alexandria database
Functional: GGA-PBE
Structure: optimized geometry

Geometry as POSCAR:
```
SrIn
1.0
4.0770 0.0000 0.0000
0.0000 5.6829 0.0000
0.0000 0.0000 11.7727
Sr In
4 4
Direct
0.0000 0.2500 0.1039
0.0000 0.7500 0.8961
0.5000 0.2500 0.3961
0.5000 0.7500 0.6039
0.0000 0.2500 0.6554
0.0000 0.7500 0.3446
0.5000 0.2500 0.8446
0.5000 0.7500 0.1554
```

Computed properties:
Energy of formation from the pure elements ... -358 meV per atom
Space-group type ... Imma

---

Compound: Li3AgPb
Source: the Alexandria database
Functional: GGA-PBE
Structure: optimized geometry

Geometry as POSCAR:
```
Li3AgPb
1.0
4.8391 0.0000 0.0000
0.0000 4.8391 0.0000
0.0000 0.0000 4.8391
Li Ag Pb
3 1 1
Direct
0.0000 0.0000 0.5000
0.0000 0.5000 0.0000
0.5000 0.0000 0.0000
0.0000 0.0000 0.0000
0.5000 0.5000 0.5000
```

Computed properties:
Energy of formation from the pure elements ... 11 meV per atom
Space-group type ... Pm-3m

---

Compound: Cs2NdHg2Se4
Source: the Alexandria database
Functional: GGA-PBE
Structure: optimized geometry

Geometry as POSCAR:
```
Cs2NdHg2Se4
1.0
8.5243 -2.1787 0.0000
8.5243 2.1787 0.0000
-3.3331 0.0000 8.2359
Cs Nd Hg Se
2 1 2 4
Direct
0.1284 0.1284 0.0678
0.8716 0.8716 0.9322
0.0000 0.0000 0.5000
0.3122 0.3122 0.4859
0.6878 0.6878 0.5141
0.1852 0.1852 0.7111
0.4755 0.4755 0.7135
0.5245 0.5245 0.2865
0.8148 0.8148 0.2889
```

Computed properties:
Space-group type ... C2/m
Uncorrected formation energy ... -0.989 eV per atom

---

Compound: Ce4Te3H4
Source: the Alexandria database
Functional: GGA-PBE
Structure: optimized geometry

Geometry as POSCAR:
```
Ce4Te3H4
1.0
-2.0405 4.0240 7.2948
2.0405 -4.0240 7.2948
2.0405 4.0240 -7.2948
Ce Te H
4 3 4
Direct
0.2096 0.2096 0.0000
0.2796 0.5000 0.7796
0.7204 0.5000 0.2204
0.7904 0.7904 0.0000
0.0000 0.0000 0.0000
0.3754 0.8754 0.5000
0.6246 0.1246 0.5000
0.0003 0.3382 0.6621
0.9997 0.6618 0.3379
0.3239 0.6618 0.6621
0.6761 0.3382 0.3379
```

Computed properties:
E_tot ... -55.75 eV for the cell shown
Space-group type ... Immm

---

Compound: PmSmLuAg
Source: the Alexandria database
Functional: GGA-PBE
Structure: optimized geometry

Geometry as POSCAR:
```
PmSmLuAg
1.0
7.6613 0.0000 0.0000
0.0000 7.6613 0.0000
0.0000 0.0000 7.6613
Pm Sm Lu Ag
4 4 4 4
Direct
0.0000 0.0000 0.0000
0.0000 0.5000 0.5000
0.5000 0.0000 0.5000
0.5000 0.5000 0.0000
0.2500 0.2500 0.7500
0.2500 0.7500 0.2500
0.7500 0.2500 0.2500
0.7500 0.7500 0.7500
0.2500 0.2500 0.2500
0.2500 0.7500 0.7500
0.7500 0.2500 0.7500
0.7500 0.7500 0.2500
0.0000 0.0000 0.5000
0.0000 0.5000 0.0000
0.5000 0.0000 0.0000
0.5000 0.5000 0.5000
```

Computed properties:
Energy of formation from the pure elements ... 109 meV per atom
Space-group type ... F-43m

---

Compound: Tl2CrNi
Source: the Alexandria database
Functional: GGA-PBE
Structure: optimized geometry

Geometry as POSCAR:
```
Tl2CrNi
1.0
3.3333 0.0000 0.0000
-1.6666 2.8867 0.0000
0.0000 0.0000 24.7887
Tl Cr Ni
6 3 3
Direct
0.0000 0.0000 0.2438
0.0000 0.0000 0.7562
0.3333 0.6667 0.4229
0.3333 0.6667 0.9104
0.6667 0.3333 0.0896
0.6667 0.3333 0.5771
0.0000 0.0000 0.0000
0.3333 0.6667 0.6667
0.6667 0.3333 0.3333
0.0000 0.0000 0.5000
0.3333 0.6667 0.1667
0.6667 0.3333 0.8333
```

Computed properties:
Energy of formation from the pure elements ... 553 meV per atom
Space-group type ... R-3m

---

Compound: V3Co13
Source: the Alexandria database
Functional: GGA-PBE
Structure: optimized geometry

Geometry as POSCAR:
```
V3Co13
1.0
7.1460 0.0000 0.0000
0.0000 3.4789 3.5608
0.0000 -3.4789 3.5608
V Co
3 13
Direct
0.0000 0.0000 0.0000
0.2606 0.2849 0.2849
0.7394 0.2849 0.2849
0.0000 0.0289 0.5090
0.0000 0.5090 0.0289
0.0000 0.5315 0.5315
0.2487 0.7721 0.7721
0.2520 0.2751 0.7796
0.2520 0.7796 0.2751
0.5000 0.0197 0.5340
0.5000 0.0251 0.0251
0.5000 0.5270 0.5270
0.5000 0.5340 0.0197
0.7480 0.2751 0.7796
0.7480 0.7796 0.2751
0.7513 0.7721 0.7721
```

Computed properties:
Energy of formation from the pure elements ... -42 meV per atom
Space-group type ... Amm2

---

Compound: CaPa4Re3N12
Source: the Alexandria database
Functional: GGA-PBE
Structure: optimized geometry

Geometry as POSCAR:
```
CaPa4Re3N12
1.0
-4.1234 4.1234 4.1234
4.1234 -4.1234 4.1234
4.1234 4.1234 -4.1234
Ca Pa Re N
1 4 3 12
Direct
0.0000 0.0000 0.0000
0.0000 0.0000 0.5000
0.0000 0.5000 0.0000
0.5000 0.0000 0.0000
0.5000 0.5000 0.5000
0.0000 0.5000 0.5000
0.5000 0.0000 0.5000
0.5000 0.5000 0.0000
0.1587 0.3217 0.4803
0.1587 0.6783 0.8370
0.1630 0.8414 0.3217
0.3217 0.1630 0.8414
0.3217 0.4803 0.1587
0.4803 0.1587 0.3217
0.5197 0.8414 0.6783
0.6783 0.5197 0.8414
0.6783 0.8370 0.1587
0.8370 0.1587 0.6783
0.8414 0.3217 0.1630
0.8414 0.6783 0.5197
```

Computed properties:
Space-group type ... Im-3
Uncorrected formation energy ... -0.624 eV per atom

---

Compound: Ac5Tl2Pt2
Source: the Alexandria database
Functional: GGA-PBE
Structure: optimized geometry

Geometry as POSCAR:
```
Ac5Tl2Pt2
1.0
8.5137 -4.5212 0.0000
8.5137 4.5212 0.0000
0.0000 0.0000 7.9978
Ac Tl Pt
10 4 4
Direct
0.0000 0.0000 0.0000
0.0553 0.7029 0.6531
0.2029 0.5553 0.1531
0.2971 0.9447 0.6531
0.4447 0.7971 0.1531
0.5000 0.5000 0.5000
0.5553 0.2029 0.8469
0.7029 0.0553 0.3469
0.7971 0.4447 0.8469
0.9447 0.2971 0.3469
0.2131 0.2131 0.0000
0.2869 0.2869 0.5000
0.7131 0.7131 0.5000
0.7869 0.7869 0.0000
0.1206 0.8794 0.3600
0.3794 0.6206 0.8600
0.6206 0.3794 0.1400
0.8794 0.1206 0.6400
```

Computed properties:
Energy of formation from the pure elements ... -642 meV per atom
Space-group type ... Cmce

---

Compound: BaMg2Te
Source: the Alexandria database
Functional: GGA-PBE
Structure: optimized geometry

Geometry as POSCAR:
```
BaMg2Te
1.0
3.9895 0.0000 0.0000
0.0000 3.9895 0.0000
0.0000 0.0000 8.1807
Ba Mg Te
1 2 1
Direct
0.0000 0.0000 0.0000
0.5000 0.5000 0.3118
0.5000 0.5000 0.6882
0.0000 0.0000 0.5000
```

Computed properties:
Space-group type ... P4/mmm
Uncorrected formation energy ... -0.368 eV per atom

---

Compound: SrY2Ir
Source: the Alexandria database
Functional: GGA-PBE
Structure: optimized geometry

Geometry as POSCAR:
```
SrY2Ir
1.0
3.8996 0.0000 0.0000
0.0000 3.8996 0.0000
0.0000 0.0000 8.3414
Sr Y Ir
1 2 1
Direct
0.0000 0.0000 0.0000
0.0000 0.0000 0.6027
0.5000 0.5000 0.3464
0.5000 0.5000 0.6842
```

Computed properties:
Energy of formation from the pure elements ... -214 meV per atom
Space-group type ... P4mm

---

Compound: AlBP2H5NO9
Source: the Alexandria database
Functional: GGA-PBE
Structure: optimized geometry

Geometry as POSCAR:
```
AlBP2H5NO9
1.0
9.4013 0.0000 0.0000
0.0000 8.5263 0.0000
-2.4789 0.0000 9.2309
Al B P H N O
4 4 8 20 4 36
Direct
0.2009 0.1562 0.4350
0.2009 0.3438 0.9350
0.7991 0.6562 0.0650
0.7991 0.8438 0.5650
0.3359 0.5492 0.1981
0.3359 0.9508 0.6981
0.6641 0.0492 0.3019
0.6641 0.4508 0.8019
0.0725 0.0644 0.7049
0.0725 0.4356 0.2049
0.4134 0.2367 0.2288
0.4134 0.2633 0.7288
0.5866 0.7367 0.2712
0.5866 0.7633 0.7712
0.9275 0.5644 0.7951
0.9275 0.9356 0.2951
0.1025 0.6831 0.5199
0.1025 0.8169 0.0199
0.1430 0.5530 0.6587
0.1430 0.9470 0.1587
0.1955 0.5145 0.5050
0.1955 0.9855 0.0050
0.2778 0.6592 0.6190
0.2778 0.8408 0.1190
0.3845 0.5610 0.9975
0.3845 0.9390 0.4975
0.6155 0.0610 0.5025
0.6155 0.4390 0.0025
0.7222 0.1592 0.8810
0.7222 0.3408 0.3810
0.8045 0.0145 0.9950
0.8045 0.4855 0.4950
0.8570 0.0530 0.8413
0.8570 0.4470 0.3413
0.8975 0.1831 0.9801
0.8975 0.3169 0.4801
0.1796 0.6023 0.5736
0.1796 0.8977 0.0736
0.8204 0.1023 0.9264
0.8204 0.3977 0.4264
0.0755 0.1549 0.5663
0.0755 0.3451 0.0663
0.0758 0.0165 0.3039
0.0758 0.4835 0.8039
0.1058 0.1677 0.8413
0.1058 0.3323 0.3413
0.1940 0.5692 0.2323
0.1940 0.9308 0.7323
0.3032 0.5309 0.0373
0.3032 0.9691 0.5373
0.3380 0.2155 0.0686
0.3380 0.2845 0.5686
0.3444 0.1361 0.3260
0.3444 0.3639 0.8260
0.4178 0.6957 0.2410
0.4178 0.8043 0.7410
0.4203 0.0859 0.7738
0.4203 0.4141 0.2738
0.5797 0.5859 0.7262
0.5797 0.9141 0.2262
0.5822 0.1957 0.2590
0.5822 0.3043 0.7590
0.6556 0.6361 0.1740
0.6556 0.8639 0.6740
0.6620 0.7155 0.4314
0.6620 0.7845 0.9314
0.6968 0.0309 0.4627
0.6968 0.4691 0.9627
0.8060 0.0692 0.2677
0.8060 0.4308 0.7677
0.8942 0.6677 0.6587
0.8942 0.8323 0.1587
0.9242 0.5165 0.1961
0.9242 0.9835 0.6961
0.9245 0.6549 0.9337
0.9245 0.8451 0.4337
```

Computed properties:
E_tot ... -504.32 eV for the cell shown
Space-group type ... P2_1/c

---

no.,spin magnetization (μB per formula unit)
1,0.00
2,0.00
3,0.00
4,5.33
5,0.00
6,3.60
7,11.32
8,1.62
9,0.00
10,0.00
11,0.15
12,0.00